[1]
Crystalline CaHg2W at its relaxed geometry, computed with PBE-GGA.

Cell: 7.068 7.068 7.068 Å, 90.00 90.00 90.00°
Space group Fm-3m (No. 225)
Unique sites:
1 Ca 0.000 0.000 0.000 (multiplicity 4)
2 Hg 0.250 0.250 0.250 (multiplicity 8)
3 W 0.000 0.000 0.500 (multiplicity 4)

Calculated values
**Total energy**: -3.34 eV per atom
**Total magnetic moment**: 9.1 Bohr magnetons per cell
**D(E_F)**: 7.9 states/eV/cell

[2]
Crystalline CaHg2W at its relaxed geometry, computed with PBE-GGA.

Cell: 9.679 3.049 6.114 Å, 90.00 97.75 90.00°
Space group C2/m (No. 12)
Unique sites:
1 Ca 0.000 0.000 0.000 (multiplicity 2)
2 Hg 0.244 0.000 0.718 (multiplicity 4)
3 W 0.000 0.500 0.500 (multiplicity 2)

Calculated values
**Total energy**: -3.34 eV per atom
**Total magnetic moment**: 1.4 Bohr magnetons per cell
**D(E_F)**: 7.0 states/eV/cell

[3]
Crystalline CaHg2W at its relaxed geometry, computed with PBE-GGA.

Cell: 4.202 4.202 9.842 Å, 90.00 90.00 90.00°
Space group I-4m2 (No. 119)
Unique sites:
1 Ca 0.000 0.000 0.000 (multiplicity 2)
2 Hg 0.000 0.000 0.500 (multiplicity 2)
3 Hg 0.000 0.500 0.750 (multiplicity 2)
4 W 0.000 0.500 0.250 (multiplicity 2)

Calculated values
**Total energy**: -3.24 eV per atom
**Total magnetic moment**: 2.4 Bohr magnetons per cell
**D(E_F)**: 5.0 states/eV/cell

[4]
Crystalline CaHg3W at its relaxed geometry, computed with PBE-GGA.

Cell: 5.274 5.274 5.274 Å, 90.00 90.00 90.00°
Space group Pm-3m (No. 221)
Unique sites:
1 Ca 0.000 0.000 0.000 (multiplicity 1)
2 Hg 0.000 0.500 0.500 (multiplicity 3)
3 W 0.500 0.500 0.500 (multiplicity 1)

Calculated values
**Total energy**: -2.60 eV per atom
**Total magnetic moment**: 0.0 Bohr magnetons per cell
**D(E_F)**: 3.5 states/eV/cell

[5]
Crystalline CaHg2W at its relaxed geometry, computed with PBE-GGA.

Cell: 3.138 4.577 6.111 Å, 90.00 90.00 90.00°
Space group Pmm2 (No. 25)
Unique sites:
1 Ca 0.000 0.000 0.000 (multiplicity 1)
2 Hg 0.000 0.000 0.526 (multiplicity 1)
3 Hg 0.500 0.500 0.232 (multiplicity 1)
4 W 0.500 0.500 0.706 (multiplicity 1)

Calculated values
**Total energy**: -3.30 eV per atom
**Total magnetic moment**: 1.2 Bohr magnetons per cell
**D(E_F)**: 3.0 states/eV/cell

[6]
Crystalline CaHg2W at its relaxed geometry, computed with PBE-GGA.

Cell: 4.209 4.217 9.691 Å, 90.00 90.00 90.00°
Space group Cmm2 (No. 35)
Unique sites:
1 Ca 0.000 0.000 0.000 (multiplicity 2)
2 Hg 0.000 0.000 0.475 (multiplicity 2)
3 Hg 0.000 0.500 0.740 (multiplicity 2)
4 W 0.000 0.500 0.252 (multiplicity 2)

Calculated values
**Total energy**: -3.42 eV per atom
**Total magnetic moment**: 0.0 Bohr magnetons per cell
**D(E_F)**: 4.1 states/eV/cell

[7]
Crystalline Ca2HgW at its relaxed geometry, computed with PBE-GGA.

Cell: 3.2334 3.2334 31.8738 Å, 90.00 90.00 120.00°
Space group R-3m (No. 166, hexagonal axes)
Unique sites:
1 Ca 0.0000 0.0000 0.2443 (multiplicity 6)
2 Hg 0.0000 0.0000 0.0000 (multiplicity 3)
3 W 0.0000 0.0000 0.5000 (multiplicity 3)

Calculated values
**Total energy**: -3.74 eV per atom
**Total magnetic moment**: 0.0 Bohr magnetons per cell
**D(E_F)**: 7.6 states/eV/cell

[8]
Crystalline Ca2HgW at its relaxed geometry, computed with PBE-GGA.

Cell: 8.255 8.255 6.121 Å, 90.00 90.00 90.00°
Space group I-42d (No. 122)
Unique sites:
1 Ca 0.242 0.250 0.125 (multiplicity 8)
2 Hg 0.000 0.000 0.000 (multiplicity 4)
3 W 0.000 0.000 0.500 (multiplicity 4)

Calculated values
**Total energy**: -3.39 eV per atom
**Total magnetic moment**: 10.1 Bohr magnetons per cell
**D(E_F)**: 20.8 states/eV/cell

[9]
Crystalline Ca2HgW at its relaxed geometry, computed with PBE-GGA.

Cell: 4.570 4.570 9.333 Å, 90.00 90.00 90.00°
Space group I-4m2 (No. 119)
Unique sites:
1 Ca 0.000 0.000 0.000 (multiplicity 2)
2 Ca 0.000 0.500 0.250 (multiplicity 2)
3 Hg 0.000 0.500 0.750 (multiplicity 2)
4 W 0.000 0.000 0.500 (multiplicity 2)

Calculated values
**Total energy**: -3.60 eV per atom
**Total magnetic moment**: 4.5 Bohr magnetons per cell
**D(E_F)**: 7.1 states/eV/cell

[10]
Crystalline CaHgW at its relaxed geometry, computed with PBE-GGA.

Cell: 5.0771 5.0771 2.8878 Å, 90.00 90.00 120.00°
Space group P-6m2 (No. 187)
Unique sites:
1 Ca 0.0000 0.0000 0.0000 (multiplicity 1)
2 Hg 0.6667 0.3333 0.5000 (multiplicity 1)
3 W 0.3333 0.6667 0.5000 (multiplicity 1)

Calculated values
**Total energy**: -4.31 eV per atom
**Total magnetic moment**: 0.0 Bohr magnetons per cell
**D(E_F)**: 2.9 states/eV/cell

[11]
Crystalline CaHg2W at its relaxed geometry, computed with PBE-GGA.

Cell: 6.549 8.192 3.084 Å, 90.00 90.00 90.00°
Space group Cmmm (No. 65)
Unique sites:
1 Ca 0.000 0.000 0.000 (multiplicity 2)
2 Hg 0.250 0.250 0.500 (multiplicity 4)
3 W 0.000 0.500 0.000 (multiplicity 2)

Calculated values
**Total energy**: -3.44 eV per atom
**Total magnetic moment**: 0.0 Bohr magnetons per cell
**D(E_F)**: 3.8 states/eV/cell

[12]
Crystalline CaHgW at its relaxed geometry, computed with PBE-GGA.

Cell: 6.835 6.835 6.835 Å, 90.00 90.00 90.00°
Space group F-43m (No. 216)
Unique sites:
1 Ca 0.000 0.000 0.000 (multiplicity 4)
2 Hg 0.250 0.250 0.750 (multiplicity 4)
3 W 0.000 0.000 0.500 (multiplicity 4)

Calculated values
**Total energy**: -3.88 eV per atom
**Total magnetic moment**: 12.3 Bohr magnetons per cell
**D(E_F)**: 12.2 states/eV/cell

Question: Look up the total magnetic moment of the fifth one.
Answer: 1.2 Bohr magnetons per cell

Repeat the eighth record exactly.
Crystalline Ca2HgW at its relaxed geometry, computed with PBE-GGA.

Cell: 8.255 8.255 6.121 Å, 90.00 90.00 90.00°
Space group I-42d (No. 122)
Unique sites:
1 Ca 0.242 0.250 0.125 (multiplicity 8)
2 Hg 0.000 0.000 0.000 (multiplicity 4)
3 W 0.000 0.000 0.500 (multiplicity 4)

Calculated values
**Total energy**: -3.39 eV per atom
**Total magnetic moment**: 10.1 Bohr magnetons per cell
**D(E_F)**: 20.8 states/eV/cell

Question: Number 5 is which compound?
Answer: CaHg2W

Question: total magnetic moment of number 7 (Ca2HgW)?
Answer: 0.0 Bohr magnetons per cell